<one>
LaBeN2F PBE optimized geometry; space-group type = P4/mmm (123); DOS at the Fermi energy = 1.2 states/eV/f.u.; M_tot = 0.00 Bohr magnetons per cell
1.0
-1.367 3.232 -0.831
-0.588 -1.117 -3.378
-3.772 -1.314 1.091
F La N Be
1 1 2 1
Direct
0.000 0.000 0.500
0.500 0.500 0.500
0.000 0.500 0.000
0.500 0.000 0.000
0.000 0.000 0.000


<two>
LaBeN2F PBE optimized geometry; space-group type = P4/mmm (123); DOS at the Fermi energy = 2.4 states/eV/f.u.; M_tot = 0.21 Bohr magnetons per cell
1.0
4.417 0.000 0.000
0.000 4.417 0.000
0.000 0.000 4.535
N F La Be
2 1 1 1
Direct
0.000 0.500 0.000
0.500 0.000 0.000
0.000 0.000 0.500
0.000 0.000 0.000
0.500 0.500 0.500


So which one is most stable? That would be <one>, about 1.660 eV/atom below the next structure.


<one>
LaBeNF2 PBE optimized geometry; space-group type = P4/mmm (123); M_tot = 0.00 Bohr magnetons per cell
1.0
3.705 0.000 0.000
0.000 3.705 0.000
0.000 0.000 3.967
F N Be La
2 1 1 1
Direct
0.500 0.000 0.000
0.000 0.500 0.000
0.000 0.000 0.500
0.000 0.000 0.000
0.500 0.500 0.500


<two>
LaBeNF2 PBE optimized geometry; space-group type = P4/mmm (123); DOS at the Fermi energy = 2.5 states/eV/f.u.; M_tot = 0.28 Bohr magnetons per cell
1.0
4.580 0.000 0.000
0.000 4.580 0.000
0.000 0.000 4.817
F Be N La
2 1 1 1
Direct
0.500 0.000 0.000
0.000 0.500 0.000
0.500 0.500 0.500
0.000 0.000 0.500
0.000 0.000 0.000


So which one is most stable? That would be <one>, about 1.238 eV/atom below the next structure.


<one>
LaBeOF2 PBE optimized geometry; space-group type = P4/mmm (123); DOS at the Fermi energy = 1.3 states/eV/f.u.; M_tot = 0.00 Bohr magnetons per cell
1.0
-0.303 0.916 4.173
-3.499 -2.454 0.285
1.813 -2.505 0.682
Be F La O
1 2 1 1
Direct
0.000 0.000 0.000
0.500 0.000 0.000
0.000 0.500 0.000
0.500 0.500 0.500
0.000 0.000 0.500


<two>
LaBeOF2 PBE optimized geometry; space-group type = P4/mmm (123); DOS at the Fermi energy = 0.9 states/eV/f.u.; M_tot = 1.00 Bohr magnetons per cell
1.0
-0.138 4.133 -2.252
-1.259 -2.203 -3.966
-4.419 0.474 1.140
F Be La O
2 1 1 1
Direct
0.500 0.000 0.000
0.000 0.500 0.000
0.500 0.500 0.500
0.000 0.000 0.000
0.000 0.000 0.500


So which one is most stable? That would be <one>, about 0.810 eV/atom below the next structure.


<one>
Li3BeF6 PBE optimized geometry; space-group type = C2/m (12); DOS at the Fermi energy = 3.5 states/eV/f.u.; M_tot = 0.89 Bohr magnetons per cell
1.0
-1.652 4.670 0.601
-2.383 -0.307 -4.163
-1.133 -3.526 3.568
Li F Be
3 6 1
Direct
0.000 0.000 0.000
0.754 0.331 0.509
0.246 0.669 0.491
0.269 0.085 0.537
0.812 0.355 0.154
0.188 0.645 0.846
0.731 0.915 0.463
0.342 0.355 0.154
0.658 0.645 0.846
0.500 0.500 0.000


<two>
Li3BeF6 PBE optimized geometry; space-group type = P2_1/c (14); DOS at the Fermi energy = 5.5 states/eV/f.u.; M_tot = 2.03 Bohr magnetons per cell
1.0
4.924 0.000 -0.022
0.000 5.180 0.000
0.029 0.000 6.960
F Li Be
12 6 2
Direct
0.639 0.440 0.279
0.672 0.215 0.583
0.139 0.060 0.779
0.211 0.316 0.437
0.711 0.184 0.937
0.361 0.560 0.721
0.861 0.940 0.221
0.789 0.684 0.563
0.289 0.816 0.063
0.828 0.715 0.917
0.172 0.285 0.083
0.328 0.785 0.417
0.518 0.935 0.757
0.000 0.000 0.500
0.482 0.065 0.243
0.018 0.565 0.257
0.500 0.500 0.000
0.982 0.435 0.743
0.500 0.500 0.500
0.000 0.000 0.000


So which one is most stable? That would be <one>, about 0.010 eV/atom below the next structure.